No. 1
# KEuIn4 | the Alexandria database | PBE | relaxed
# DFT formation energy	-154	kJ/mol of formula units
# raw total energy	-95.68	eV per cell
data_KEuIn4
_symmetry_space_group_name_H-M 'F -4 3 m'
_symmetry_Int_Tables_number 216
_symmetry_space_group_name_Hall 'F -4 2 3'
_cell_length_a 8.922
_cell_length_b 8.922
_cell_length_c 8.922
_cell_angle_alpha 90.00
_cell_angle_beta 90.00
_cell_angle_gamma 90.00
loop_
_atom_site_label
_atom_site_type_symbol
_atom_site_fract_x
_atom_site_fract_y
_atom_site_fract_z
K1 K 0.000 0.000 0.000
Eu1 Eu 0.250 0.250 0.750
In1 In 0.125 0.125 0.375


No. 2
# KEuIn2 | the Alexandria database | PBE | relaxed
# energy relative to the lowest polymorph listed for this composition	0.000	eV/atom
# DFT formation energy	-82	kJ/mol of formula units
# raw total energy	-17.69	eV per cell
data_KEuIn2
_symmetry_space_group_name_H-M 'P 4/m m m'
_symmetry_Int_Tables_number 123
_symmetry_space_group_name_Hall '-P 4 2'
_cell_length_a 4.042
_cell_length_b 4.042
_cell_length_c 8.444
_cell_angle_alpha 90.00
_cell_angle_beta 90.00
_cell_angle_gamma 90.00
loop_
_atom_site_label
_atom_site_type_symbol
_atom_site_fract_x
_atom_site_fract_y
_atom_site_fract_z
K1 K 0.000 0.000 0.000
Eu1 Eu 0.000 0.000 0.500
In1 In 0.500 0.500 0.289


No. 3
# KEuIn2 | the Alexandria database | PBE | relaxed
# energy relative to the lowest polymorph listed for this composition	0.057	eV/atom
# DFT formation energy	-60	kJ/mol of formula units
# raw total energy	-69.87	eV per cell
data_KEuIn2
_symmetry_space_group_name_H-M 'F m -3 m'
_symmetry_Int_Tables_number 225
_symmetry_space_group_name_Hall '-F 4 2 3'
_cell_length_a 8.095
_cell_length_b 8.095
_cell_length_c 8.095
_cell_angle_alpha 90.00
_cell_angle_beta 90.00
_cell_angle_gamma 90.00
loop_
_atom_site_label
_atom_site_type_symbol
_atom_site_fract_x
_atom_site_fract_y
_atom_site_fract_z
K1 K 0.000 0.000 0.000
Eu1 Eu 0.000 0.000 0.500
In1 In 0.250 0.250 0.250


No. 4
# KEuIn2 | the Alexandria database | PBE | relaxed
# energy relative to the lowest polymorph listed for this composition	0.143	eV/atom
# DFT formation energy	-26	kJ/mol of formula units
# raw total energy	-51.37	eV per cell
data_KEuIn2
_symmetry_space_group_name_H-M 'R -3 m'
_symmetry_Int_Tables_number 166
_symmetry_space_group_name_Hall '-R 3 2"'
_cell_length_a 3.7531
_cell_length_b 3.7531
_cell_length_c 34.0816
_cell_angle_alpha 90.00
_cell_angle_beta 90.00
_cell_angle_gamma 120.00
loop_
_atom_site_label
_atom_site_type_symbol
_atom_site_fract_x
_atom_site_fract_y
_atom_site_fract_z
K1 K 0.0000 0.0000 0.0000
Eu1 Eu 0.0000 0.0000 0.5000
In1 In 0.0000 0.0000 0.2446


No. 5
# K2EuIn | the Alexandria database | PBE | relaxed
# DFT formation energy	97	kJ/mol of formula units
# raw total energy	-42.61	eV per cell
data_K2EuIn
_symmetry_space_group_name_H-M 'R -3 m'
_symmetry_Int_Tables_number 166
_symmetry_space_group_name_Hall '-R 3 2"'
_cell_length_a 3.9200
_cell_length_b 3.9200
_cell_length_c 43.8359
_cell_angle_alpha 90.00
_cell_angle_beta 90.00
_cell_angle_gamma 120.00
loop_
_atom_site_label
_atom_site_type_symbol
_atom_site_fract_x
_atom_site_fract_y
_atom_site_fract_z
K1 K 0.0000 0.0000 0.0812
Eu1 Eu 0.0000 0.0000 0.5000
In1 In 0.0000 0.0000 0.0000


No. 6
# KEu2In | the Alexandria database | PBE | relaxed
# DFT formation energy	-61	kJ/mol of formula units
# raw total energy	-25.02	eV per cell
data_KEu2In
_symmetry_space_group_name_H-M 'P 4/m m m'
_symmetry_Int_Tables_number 123
_symmetry_space_group_name_Hall '-P 4 2'
_cell_length_a 4.015
_cell_length_b 4.015
_cell_length_c 10.711
_cell_angle_alpha 90.00
_cell_angle_beta 90.00
_cell_angle_gamma 90.00
loop_
_atom_site_label
_atom_site_type_symbol
_atom_site_fract_x
_atom_site_fract_y
_atom_site_fract_z
K1 K 0.000 0.000 0.000
Eu1 Eu 0.500 0.500 0.326
In1 In 0.000 0.000 0.500


No. 7
# KEuMgIn | the Alexandria database | PBE | relaxed
# DFT formation energy	-21	kJ/mol of formula units
# raw total energy	-63.68	eV per cell
data_KEuMgIn
_symmetry_space_group_name_H-M 'F -4 3 m'
_symmetry_Int_Tables_number 216
_symmetry_space_group_name_Hall 'F -4 2 3'
_cell_length_a 7.874
_cell_length_b 7.874
_cell_length_c 7.874
_cell_angle_alpha 90.00
_cell_angle_beta 90.00
_cell_angle_gamma 90.00
loop_
_atom_site_label
_atom_site_type_symbol
_atom_site_fract_x
_atom_site_fract_y
_atom_site_fract_z
K1 K 0.000 0.000 0.000
Eu1 Eu 0.250 0.250 0.750
Mg1 Mg 0.250 0.250 0.250
In1 In 0.000 0.000 0.500


No. 8
# KNaEuIn | the Alexandria database | PBE | relaxed
# DFT formation energy	-4	kJ/mol of formula units
# raw total energy	-61.90	eV per cell
data_KNaEuIn
_symmetry_space_group_name_H-M 'F -4 3 m'
_symmetry_Int_Tables_number 216
_symmetry_space_group_name_Hall 'F -4 2 3'
_cell_length_a 8.258
_cell_length_b 8.258
_cell_length_c 8.258
_cell_angle_alpha 90.00
_cell_angle_beta 90.00
_cell_angle_gamma 90.00
loop_
_atom_site_label
_atom_site_type_symbol
_atom_site_fract_x
_atom_site_fract_y
_atom_site_fract_z
K1 K 0.000 0.000 0.000
Na1 Na 0.250 0.250 0.750
Eu1 Eu 0.250 0.250 0.250
In1 In 0.000 0.000 0.500


No. 9
# KEuInSn | the Alexandria database | PBE | relaxed
# DFT formation energy	-100	kJ/mol of formula units
# raw total energy	-76.60	eV per cell
data_KEuInSn
_symmetry_space_group_name_H-M 'F -4 3 m'
_symmetry_Int_Tables_number 216
_symmetry_space_group_name_Hall 'F -4 2 3'
_cell_length_a 8.045
_cell_length_b 8.045
_cell_length_c 8.045
_cell_angle_alpha 90.00
_cell_angle_beta 90.00
_cell_angle_gamma 90.00
loop_
_atom_site_label
_atom_site_type_symbol
_atom_site_fract_x
_atom_site_fract_y
_atom_site_fract_z
K1 K 0.000 0.000 0.000
Eu1 Eu 0.000 0.000 0.500
In1 In 0.250 0.250 0.250
Sn1 Sn 0.250 0.250 0.750


No. 10
# La2EuIn | the Alexandria database | PBE | relaxed
# energy relative to the lowest polymorph listed for this composition	0.000	eV/atom
# DFT formation energy	-98	kJ/mol of formula units
# raw total energy	-23.89	eV per cell
data_La2EuIn
_symmetry_space_group_name_H-M 'P 4/m m m'
_symmetry_Int_Tables_number 123
_symmetry_space_group_name_Hall '-P 4 2'
_cell_length_a 5.132
_cell_length_b 5.132
_cell_length_c 4.984
_cell_angle_alpha 90.00
_cell_angle_beta 90.00
_cell_angle_gamma 90.00
loop_
_atom_site_label
_atom_site_type_symbol
_atom_site_fract_x
_atom_site_fract_y
_atom_site_fract_z
La1 La 0.000 0.500 0.000
Eu1 Eu 0.000 0.000 0.500
In1 In 0.500 0.500 0.500


No. 11
# LaEuIn2 | the Alexandria database | PBE | relaxed
# energy relative to the lowest polymorph listed for this composition	0.011	eV/atom
# DFT formation energy	-184	kJ/mol of formula units
# raw total energy	-22.58	eV per cell
data_LaEuIn2
_symmetry_space_group_name_H-M 'P 4/m m m'
_symmetry_Int_Tables_number 123
_symmetry_space_group_name_Hall '-P 4 2'
_cell_length_a 5.165
_cell_length_b 5.165
_cell_length_c 4.558
_cell_angle_alpha 90.00
_cell_angle_beta 90.00
_cell_angle_gamma 90.00
loop_
_atom_site_label
_atom_site_type_symbol
_atom_site_fract_x
_atom_site_fract_y
_atom_site_fract_z
La1 La 0.000 0.000 0.000
Eu1 Eu 0.500 0.500 0.000
In1 In 0.000 0.500 0.500


No. 12
# LaEuIn2 | the Alexandria database | PBE | relaxed
# energy relative to the lowest polymorph listed for this composition	0.007	eV/atom
# DFT formation energy	-185	kJ/mol of formula units
# raw total energy	-90.40	eV per cell
data_LaEuIn2
_symmetry_space_group_name_H-M 'F m -3 m'
_symmetry_Int_Tables_number 225
_symmetry_space_group_name_Hall '-F 4 2 3'
_cell_length_a 7.901
_cell_length_b 7.901
_cell_length_c 7.901
_cell_angle_alpha 90.00
_cell_angle_beta 90.00
_cell_angle_gamma 90.00
loop_
_atom_site_label
_atom_site_type_symbol
_atom_site_fract_x
_atom_site_fract_y
_atom_site_fract_z
La1 La 0.000 0.000 0.000
Eu1 Eu 0.000 0.000 0.500
In1 In 0.250 0.250 0.250